Density functional theory data (PBE-GGA) for a relaxed structure of CdRePb.

The space group is Imm2 (No. 44) and the conventional cell measures 2.979, 4.290 and 9.621 Å, with angles of 90.00, 90.00 and 90.00 degrees. The inequivalent atoms are Cd at (0.000, 0.000, 0.000), Re at (0.000, 0.000, 0.643) and Pb at (0.000, 0.000, 0.311).

Its electronic total energy is -28.48 eV for the cell shown. As for the crystal system: orthorhombic. The value obtained for the excess energy over the best structure of this formula in the dataset is 122.9 meV per atom. For the formation enthalpy at 0 K, the calculation gives 943 meV per atom.

***

Density functional theory data (PBE-GGA) for a relaxed structure of CdRe4Pb.

The space group is F-43m (No. 216) and the conventional cell measures 7.583, 7.583 and 7.583 Å, with angles of 90.00, 90.00 and 90.00 degrees. The inequivalent atoms are Cd at (0.000, 0.000, 0.000), Re at (0.125, 0.125, 0.375) and Pb at (0.250, 0.250, 0.750).

Its electronic total energy is -198.42 eV for the cell shown. As for the crystal system: cubic. For the formation enthalpy at 0 K, the calculation gives 802 meV per atom.

***

Density functional theory data (PBE-GGA) for a relaxed structure of CdRePb2.

The space group is R3m (No. 160, hexagonal axes) and the conventional cell measures 3.1806, 3.1806 and 33.0034 Å, with angles of 90.00, 90.00 and 120.00 degrees. The inequivalent atoms are Cd at (0.0000, 0.0000, 0.0000), Re at (0.0000, 0.0000, 0.2652), Pb at (0.0000, 0.0000, 0.5292) and Pb at (0.0000, 0.0000, 0.7512).

Its electronic total energy is -54.79 eV for the cell shown. As for the crystal system: trigonal. For the formation enthalpy at 0 K, the calculation gives 629 meV per atom.

***

Density functional theory data (PBE-GGA) for a relaxed structure of Cd3RePb.

The space group is Pm-3m (No. 221) and the conventional cell measures 5.591, 5.591 and 5.591 Å, with angles of 90.00, 90.00 and 90.00 degrees. The inequivalent atoms are Cd at (0.000, 0.000, 0.500), Re at (0.500, 0.500, 0.500) and Pb at (0.000, 0.000, 0.000).

Its electronic total energy is -10.61 eV for the cell shown. As for the crystal system: cubic. The value obtained for the excess energy over the best structure of this formula in the dataset is 750.6 meV per atom. For the formation enthalpy at 0 K, the calculation gives 1657 meV per atom.

***

Question: Look up the formation enthalpy at 0 K of the fourth one.
Answer: 1657 meV per atom

***

Question: Which formula does entry 3 have?
Answer: CdRePb2